(1)
A plane-wave DFT calculation with PBEsol was carried out for an optimized crystal structure of H8PtO6.

Space group   Cc, No. 9

a = 5.3991 Å, b = 5.3991 Å, c = 7.2500 Å
α = 93.16°, β = 93.16°, γ = 83.00°
With the nearest neighbours (Å) after each atom.
Element x y z (fractional)
H (0.0065, 0.9935, 0.5000)  1 O 1.08
H (0.0929, 0.2849, 0.1068)  1 O 1.07
H (0.2227, 0.5820, 0.2431)  1 O 0.99
H (0.2849, 0.0929, 0.6068)  1 O 1.07
H (0.3184, 0.6264, 0.7139)  1 O 1.04
H (0.3260, 0.9917, 0.3346)  1 O 1.02
H (0.4510, 0.5153, 0.9810)  1 O 1.04
H (0.5153, 0.4510, 0.4810)  1 O 1.04
H (0.5820, 0.2227, 0.7431)  1 O 0.99
H (0.6139, 0.8562, 0.3446)  1 O 1.06
H (0.6264, 0.3184, 0.2139)  1 O 1.04
H (0.7062, 0.8884, 0.5984)  1 O 1.02
H (0.8562, 0.6139, 0.8446)  1 O 1.06
H (0.8884, 0.7062, 0.0984)  1 O 1.02
H (0.9917, 0.3260, 0.8346)  1 O 1.02
H (0.9935, 0.0065, 0.0000)  1 O 1.08
Pt (0.4774, 0.9763, 0.9987)  6 O 1.99-2.03
Pt (0.9763, 0.4774, 0.4987)  6 O 1.99-2.03
O (0.0633, 0.5066, 0.2368)  1 H 0.99
O (0.1210, 0.1454, 0.9973)  2 H 1.07-1.08
O (0.1454, 0.1210, 0.4973)  2 H 1.07-1.08
O (0.2991, 0.6096, 0.5701)  1 H 1.04
O (0.3382, 0.6590, 0.9183)  1 H 1.04
O (0.4468, 0.8725, 0.2592)  2 H 1.02-1.06
O (0.5066, 0.0633, 0.7368)  1 H 0.99
O (0.6096, 0.2991, 0.0701)  1 H 1.04
O (0.6590, 0.3382, 0.4183)  1 H 1.04
O (0.8155, 0.8302, 0.4903)  1 H 1.02
O (0.8302, 0.8155, 0.9903)  1 H 1.02
O (0.8725, 0.4468, 0.7592)  2 H 1.02-1.06

=====

(2)
A plane-wave DFT calculation with PBEsol was carried out for an optimized crystal structure of SbOsCl2.

Formation energy without anion corrections   101 kJ/mol of atoms
Distance to the lowest polymorph of the same formula   804 meV/atom
Space group   Cmmm, No. 65

a = 5.8651 Å, b = 8.5506 Å, c = 2.9116 Å
α = 90.00°, β = 90.00°, γ = 90.00°
With the nearest neighbours (Å) after each atom.
Element x y z (fractional)
Sb (0.0000, 0.0000, 0.0000)  2 Sb 2.91, 2 Os 2.93, 8 Cl 2.97
Sb (0.5000, 0.5000, 0.0000)  2 Sb 2.91, 2 Os 2.93, 8 Cl 2.97
Os (0.0000, 0.5000, 0.0000)  2 Os 2.91, 2 Sb 2.93, 8 Cl 2.97
Os (0.5000, 0.0000, 0.0000)  2 Os 2.91, 2 Sb 2.93, 8 Cl 2.97
Cl (0.2500, 0.2500, 0.5000)  4 Cl 2.91-2.93, 4 Sb 2.97, 4 Os 2.97
Cl (0.2500, 0.7500, 0.5000)  4 Cl 2.91-2.93, 4 Sb 2.97, 4 Os 2.97
Cl (0.7500, 0.2500, 0.5000)  4 Cl 2.91-2.93, 4 Sb 2.97, 4 Os 2.97
Cl (0.7500, 0.7500, 0.5000)  4 Cl 2.91-2.93, 4 Sb 2.97, 4 Os 2.97

=====

(3)
A plane-wave DFT calculation with PBEsol was carried out for an optimized crystal structure of Ba4NbCo2MoO12.

Formation energy without anion corrections   -222 kJ/mol of atoms
Space group   P4/mmm, No. 123

a = 5.6859 Å, b = 5.6859 Å, c = 8.0424 Å
α = 90.00°, β = 90.00°, γ = 90.00°
With the nearest neighbours (Å) after each atom.
Element x y z (fractional)
Ba (0.0000, 0.5000, 0.2505)  12 O 2.84-2.85
Ba (0.0000, 0.5000, 0.7495)  12 O 2.84-2.85
Ba (0.5000, 0.0000, 0.2505)  12 O 2.84-2.85
Ba (0.5000, 0.0000, 0.7495)  12 O 2.84-2.85
Nb (0.0000, 0.0000, 0.0000)  6 O 2.01-2.03
Co (0.0000, 0.0000, 0.5000)  6 O 2.00-2.09
Co (0.5000, 0.5000, 0.0000)  6 O 2.01-2.10
Mo (0.5000, 0.5000, 0.5000)  6 O 1.92-1.93
O (0.0000, 0.0000, 0.2518)  1 Co 2.00, 1 Nb 2.03
O (0.0000, 0.0000, 0.7482)  1 Co 2.00, 1 Nb 2.03
O (0.2500, 0.2500, 0.0000)  1 Co 2.01, 1 Nb 2.01
O (0.2500, 0.7500, 0.0000)  1 Co 2.01, 1 Nb 2.01
O (0.2597, 0.2597, 0.5000)  1 Mo 1.93, 1 Co 2.09
O (0.2597, 0.7403, 0.5000)  1 Mo 1.93, 1 Co 2.09
O (0.5000, 0.5000, 0.2611)  1 Mo 1.92, 1 Co 2.10
O (0.5000, 0.5000, 0.7389)  1 Mo 1.92, 1 Co 2.10
O (0.7403, 0.2597, 0.5000)  1 Mo 1.93, 1 Co 2.09
O (0.7403, 0.7403, 0.5000)  1 Mo 1.93, 1 Co 2.09
O (0.7500, 0.2500, 0.0000)  1 Co 2.01, 1 Nb 2.01
O (0.7500, 0.7500, 0.0000)  1 Co 2.01, 1 Nb 2.01

=====

DFT total energy: -78.704 -16.596 -155.672 (eV/f.u.)